## NaTiPtO4 (PBE)

Data for a relaxed NaTiPtO4 crystal.

Its crystal system is orthorhombic. Its total magnetic moment is 0.14 μB/atom. The uncorrected formation energy comes out at -1.72 eV per atom. For the total energy, the calculation gives -6.73 eV per atom.

The structure belongs to space group Imma (No. 74); the cell edges are 5.951, 6.332 and 9.640 Å and the angles 90.00°, 90.00° and 90.00°. Symmetry generates all atoms from Na at (0.000, 0.250, 0.120), Ti at (0.250, 0.250, 0.750), Pt at (0.000, 0.000, 0.500), O at (0.000, 0.047, 0.755) and O at (0.216, 0.250, 0.538).



## DyYIn (PBE)

Data for a relaxed DyYIn crystal.

Its crystal system is trigonal. Its total magnetic moment is 0.00 μB/atom. For the total energy, the calculation gives -4.84 eV per atom. As for the excess energy over the best structure of this formula in the dataset: 2.01 kcal/mol of atoms. The value obtained for the density of states at the Fermi level is 2.391 states/eV/f.u.

The structure belongs to space group P3m1 (No. 156); the cell edges are 5.2305, 5.2305 and 3.6391 Å and the angles 90.00°, 90.00° and 120.00°. Symmetry generates all atoms from Dy at (0.0000, 0.0000, 0.0000), Y at (0.6667, 0.3333, 0.4434) and In at (0.3333, 0.6667, 0.7327).



## SbAsC (PBE)

Data for a relaxed SbAsC crystal.

Its crystal system is monoclinic. Its total magnetic moment is 0.00 μB/atom. The uncorrected formation energy comes out at 0.53 eV per atom. For the total energy, the calculation gives -5.47 eV per atom. As for the excess energy over the best structure of this formula in the dataset: 0.16 kcal/mol of atoms. The value obtained for the density of states at the Fermi level is 0.386 states/eV/f.u.

The structure belongs to space group Cm (No. 8); the cell edges are 14.299, 4.036 and 4.932 Å and the angles 90.00°, 102.73° and 90.00°. Symmetry generates all atoms from Sb at (0.000, 0.000, 0.000), Sb at (0.194, 0.000, 0.886), As at (0.021, 0.500, 0.380), As at (0.349, 0.000, 0.462) and C at (0.278, 0.335, 0.197).